# 1
{
  "formula": "Pm3Zr",
  "functional": "PBE",
  "state": "relaxed",
  "lattice": [[0.000, 3.945, 3.945], [3.945, 0.000, 3.945], [3.945, 3.945, 0.000]],
  "species": ["Pm", "Pm", "Pm", "Zr"],
  "fractional_positions": [[0.000, 0.000, 0.000], [0.250, 0.250, 0.250], [0.750, 0.750, 0.750], [0.500, 0.500, 0.500]],
  "space_group": "Fm-3m"
}

# 2
{
  "formula": "PmZr2",
  "functional": "PBE",
  "state": "relaxed",
  "lattice": [[-1.623, 1.623, 7.512], [1.623, -1.623, 7.512], [1.623, 1.623, -7.512]],
  "species": ["Pm", "Zr", "Zr"],
  "fractional_positions": [[0.000, 0.000, 0.000], [0.322, 0.322, 0.000], [0.678, 0.678, 0.000]],
  "space_group": "I4/mmm"
}

# 3
{
  "formula": "PmZr2",
  "functional": "PBE",
  "state": "relaxed",
  "lattice": [[0.000, 4.352, 4.352], [4.352, 0.000, 4.352], [4.352, 4.352, 0.000]],
  "species": ["Pm", "Pm", "Zr", "Zr", "Zr", "Zr"],
  "fractional_positions": [[0.125, 0.125, 0.125], [0.875, 0.875, 0.875], [0.000, 0.500, 0.500], [0.500, 0.000, 0.500], [0.500, 0.500, 0.000], [0.500, 0.500, 0.500]],
  "space_group": "Fd-3m"
}

# 4
{
  "formula": "Pm3Zr",
  "functional": "PBE",
  "state": "relaxed",
  "lattice": [[-1.761, 5.745, 3.069], [1.761, -5.745, 3.069], [1.761, 5.745, -3.069]],
  "species": ["Pm", "Pm", "Pm", "Zr"],
  "fractional_positions": [[0.000, 0.000, 0.000], [0.415, 0.654, 0.760], [0.894, 0.654, 0.240], [0.487, 0.987, 0.500]],
  "space_group": "Imm2"
}

# 5
{
  "formula": "Pm3Zr",
  "functional": "PBE",
  "state": "relaxed",
  "lattice": [[7.146, 0.000, 0.000], [-3.573, 6.189, 0.000], [0.000, 0.000, 5.660]],
  "species": ["Pm", "Pm", "Pm", "Pm", "Pm", "Pm", "Zr", "Zr"],
  "fractional_positions": [[0.172, 0.345, 0.250], [0.172, 0.828, 0.250], [0.345, 0.172, 0.750], [0.655, 0.828, 0.250], [0.828, 0.172, 0.750], [0.828, 0.655, 0.750], [0.333, 0.667, 0.750], [0.667, 0.333, 0.250]],
  "space_group": "P6_3/mmc"
}

# 6
{
  "formula": "PmZr3",
  "functional": "PBE",
  "state": "relaxed",
  "lattice": [[3.306, 0.000, 0.000], [0.000, 5.305, 0.000], [0.000, 0.000, 5.831]],
  "species": ["Pm", "Zr", "Zr", "Zr"],
  "fractional_positions": [[0.000, 0.000, 0.000], [0.000, 0.500, 0.661], [0.500, 0.000, 0.499], [0.500, 0.500, 0.195]],
  "space_group": "Pmm2"
}

| no. | final energy (eV for the cell shown) |
| --- | --- |
| 1 | -21.83 |
| 2 | -21.47 |
| 3 | -42.08 |
| 4 | -22.22 |
| 5 | -44.56 |
| 6 | -29.94 |